1.
8
Lattice="2.961 0.000 -0.009 0.000 4.408 0.000 -2.913 0.000 10.875" Properties=species:S:1:pos:R:3 comment="NaSnMoH (PBE, relaxed)" relative_energy_mev_per_atom=53 m_tot_mub_per_fu=0.00 pbc="T T T"
Na 0.567 0.000 2.915
Na -0.889 2.204 8.353
Mo -0.902 2.204 5.196
Mo -2.358 0.000 10.633
H 0.575 2.204 3.961
H -0.881 0.000 9.399
Sn 0.581 0.000 6.056
Sn 2.038 2.204 0.619

2.
4
Lattice="-2.385 2.674 0.930 -1.308 0.350 -4.360 -3.642 -2.985 -0.756" Properties=species:S:1:pos:R:3 comment="SiAs2Au (PBE, relaxed)" m_tot_mub_per_fu=0.00 raw_formation_energy_ev_per_atom=0.12 pbc="T T T"
Si -4.905 -0.640 -3.372
Au -2.430 0.678 -0.814
As -3.537 -2.883 -0.782
As -2.580 -1.421 -2.532

3.
4
Lattice="-5.390 -0.247 -1.319 -3.782 -0.987 3.946 -3.444 4.046 1.620" Properties=species:S:1:pos:R:3 comment="CeGdYPa (PBE, relaxed)" delta_e_f_ev_per_atom=0.3552 m_tot_mub_per_fu=11.81 pbc="T T T"
Gd -6.308 1.406 2.124
Pa -3.154 0.703 1.062
Ce 0.000 0.000 0.000
Y -9.463 2.109 3.186

4.
12
Lattice="-1.165 4.218 0.024 -3.949 -1.135 7.903 9.642 0.382 2.201" Properties=species:S:1:pos:R:3 comment="PrSm2Dy3Te6 (PBE, relaxed)" m_tot_mub_per_fu=0.00 raw_formation_energy_ev_per_atom=-1.34 pbc="T T T"
Te 0.096 2.266 5.389
Te -2.904 -0.835 5.858
Te 4.433 1.198 4.739
Te 7.432 4.299 4.270
Te 2.201 2.870 1.402
Te 2.328 0.594 8.726
Sm 1.691 0.448 3.352
Sm 2.838 3.016 6.775
Dy -2.557 1.541 3.963
Dy 4.839 3.591 2.819
Dy -0.311 -0.127 7.309
Pr -0.583 2.109 0.012

5.
14
Lattice="-3.617 -0.233 1.670 2.577 -5.597 4.801 3.238 9.407 8.326" Properties=species:S:1:pos:R:3 comment="SmPuCl5 (PBE, relaxed)" m_tot_mub_per_fu=6.00 raw_formation_energy_ev_per_atom=-2.05 pbc="T T T"
Cl 2.332 4.610 8.077
Cl 0.275 2.472 3.324
Cl 1.513 -4.159 5.080
Cl -0.327 2.565 6.802
Cl 1.924 1.106 11.474
Cl -0.133 -1.032 6.720
Cl 0.422 -0.759 3.192
Cl 0.686 7.737 9.718
Cl 2.526 1.013 7.995
Cl 1.777 4.337 11.605
Pu -2.031 0.736 2.855
Pu 4.230 2.842 11.942
Sm 1.300 0.819 5.314
Sm 0.899 2.759 9.484

6.
5
Lattice="-3.584 -1.737 0.079 1.595 -3.355 -1.441 0.846 -1.540 4.522" Properties=species:S:1:pos:R:3 comment="Li2YHPd (PBE, relaxed)" m_tot_mub_per_fu=0.00 energy_ha_per_atom=-0.1550 pbc="T T T"
Li -1.792 -0.869 0.039
Li 0.797 -1.677 -0.720
Y 0.423 -0.770 2.261
H 0.000 0.000 0.000
Pd -0.572 -3.316 1.580

7.
15
Lattice="8.061 0.000 0.000 -4.030 6.979 -0.028 0.000 -4.623 7.598" Properties=species:S:1:pos:R:3 comment="Tb3UTl3S8 (PBE, relaxed)" m_tot_mub_per_fu=2.00 raw_formation_energy_ev_per_atom=-1.46 pbc="T T T"
Tl 2.015 3.490 -0.014
Tl -2.015 3.490 -0.014
Tl 0.000 0.000 0.000
S 4.030 0.021 5.286
S 2.060 3.537 5.240
S 0.000 -0.030 5.255
S 0.000 2.335 2.284
S 4.030 2.387 2.315
S 6.090 -1.180 2.329
S 1.970 -1.180 2.330
S -2.060 3.537 5.241
Tb 4.030 -2.312 3.799
Tb -2.015 1.178 3.785
Tb 2.015 1.178 3.785
U 0.000 -2.311 3.799

8.
5
Lattice="-0.230 -0.325 5.158 -3.955 -2.491 -0.333 2.766 -4.370 -0.152" Properties=species:S:1:pos:R:3 comment="CrBAsSe2 (PBE, relaxed)" relative_energy_mev_per_atom=311 m_tot_mub_per_fu=3.96 raw_formation_energy_ev_per_atom=1.39 pbc="T T T"
Cr -1.977 -1.246 -0.166
Se 1.383 -2.185 -0.076
Se -0.115 -0.162 2.579
As 0.000 0.000 0.000
B -0.709 -3.593 2.337